Entry 1:
Material: Na6Tl12Ag
Method: DFT, PBE
State: relaxed

a b c (Å): 15.2698 15.2698 8.3725
angles (deg): 90.00 90.00 120.00
Space group R-3 (No. 148, hexagonal axes)
Unique sites:
Na 0.0332 0.4323 0.1105 [18 per cell]
Tl 0.0079 0.1288 0.6859 [18 per cell]
Tl 0.0080 0.2096 0.0735 [18 per cell]
Ag 0.0000 0.0000 0.0000 [3 per cell]

Properties
For the energy of formation, the calculation gives -0.025 eV per atom.

Entry 2:
Material: SnPRu3
Method: DFT, PBE
State: relaxed

a b c (Å): 4.8868 4.8868 4.8868
angles (deg): 90.00 90.00 90.00
Space group Pm-3m (No. 221)
Unique sites:
Sn 0.0000 0.0000 0.0000 [1 per cell]
P 0.5000 0.5000 0.5000 [1 per cell]
Ru 0.0000 0.0000 0.5000 [3 per cell]

Properties
For the energy of formation, the calculation gives 2.085 eV per atom.

Calculated volume in Å³/atom, matching the order above: 29.66 23.34